# 1
Entry from Alexandria: PrTeO4F after structural relaxation (PBE).

abc: 6.2138 6.2138 7.2347
angles: 77.20 77.20 75.82
With the nearest neighbours (Å) after each atom.
Element x y z (fractional)
O 0.4613 0.4613 0.7385  1 Te 1.82
O 0.4820 0.1209 0.1427  1 Te 1.86
O 0.1209 0.4820 0.1427  1 Te 1.86
O 0.5180 0.8791 0.8573  1 Te 1.86
O 0.7628 0.7628 0.4661  1 Te 1.82
O 0.8791 0.5180 0.8573  1 Te 1.86
O 0.2372 0.2372 0.5339  1 Te 1.82
O 0.5387 0.5387 0.2615  1 Te 1.82
Te 0.3485 0.3485 0.2854  4 O 1.82-1.86
Te 0.6515 0.6515 0.7146  4 O 1.82-1.86
F 0.9804 0.9804 0.8308  2 Pr 2.33-2.34, 1 F 2.58
F 0.0196 0.0196 0.1692  2 Pr 2.33-2.34, 1 F 2.58
Pr 0.2047 0.2047 0.8856  2 F 2.33-2.34, 4 O 2.44-2.47
Pr 0.7953 0.7953 0.1144  2 F 2.33-2.34, 4 O 2.44-2.47

Output
Formation energy (no corrections) in eV/atom: -2.073
SG: C2/m, No. 12


# 2
Entry from Alexandria: Pr2TeOF after structural relaxation (PBE).

abc: 4.1297 4.1297 6.9795
angles: 107.21 107.21 90.00
With the nearest neighbours (Å) after each atom.
Element x y z (fractional)
O 0.2500 0.7500 0.5000  4 Pr 2.45
Pr 0.6459 0.6459 0.2917  2 O 2.45, 2 F 2.45
Pr 0.3541 0.3541 0.7083  2 F 2.45, 2 O 2.45
Te 0.0000 0.0000 0.0000  8 Pr 3.46, 4 O 3.78, 4 F 3.78
F 0.7500 0.2500 0.5000  4 Pr 2.45

Output
Formation energy (no corrections) in eV/atom: -2.704
SG: I-4m2, No. 119


# 3
Entry from Alexandria: PrUO4F after structural relaxation (PBE).

abc: 6.2678 6.2678 6.7826
angles: 84.61 84.61 71.53
With the nearest neighbours (Å) after each atom.
Element x y z (fractional)
O 0.5096 0.8729 0.8332  1 U 2.03
O 0.5601 0.5601 0.3145  1 U 2.03
O 0.4399 0.4399 0.6855  1 U 2.03
O 0.8729 0.5096 0.8332  1 U 2.03
O 0.8025 0.8025 0.4640  1 U 1.89
O 0.1975 0.1975 0.5360  1 U 1.89
O 0.1271 0.4904 0.1668  1 U 2.03
O 0.4904 0.1271 0.1668  1 U 2.03
F 0.9756 0.9756 0.8193  2 Pr 2.30-2.38, 1 F 2.56
F 0.0244 0.0244 0.1807  2 Pr 2.30-2.38, 1 F 2.56
U 0.6399 0.6399 0.6287  4 O 1.89-2.03
U 0.3601 0.3601 0.3713  4 O 1.89-2.03
Pr 0.8084 0.8084 0.0776  2 F 2.30-2.38, 4 O 2.41-2.53
Pr 0.1916 0.1916 0.9224  2 F 2.30-2.38, 4 O 2.41-2.53

Output
Formation energy (no corrections) in eV/atom: -3.192
SG: C2/m, No. 12


Q: Which of these has the lowest formation energy (no corrections)?
A: PrUO4F


Copy entry 3 word for word.
Entry from Alexandria: PrUO4F after structural relaxation (PBE).

abc: 6.2678 6.2678 6.7826
angles: 84.61 84.61 71.53
With the nearest neighbours (Å) after each atom.
Element x y z (fractional)
O 0.5096 0.8729 0.8332  1 U 2.03
O 0.5601 0.5601 0.3145  1 U 2.03
O 0.4399 0.4399 0.6855  1 U 2.03
O 0.8729 0.5096 0.8332  1 U 2.03
O 0.8025 0.8025 0.4640  1 U 1.89
O 0.1975 0.1975 0.5360  1 U 1.89
O 0.1271 0.4904 0.1668  1 U 2.03
O 0.4904 0.1271 0.1668  1 U 2.03
F 0.9756 0.9756 0.8193  2 Pr 2.30-2.38, 1 F 2.56
F 0.0244 0.0244 0.1807  2 Pr 2.30-2.38, 1 F 2.56
U 0.6399 0.6399 0.6287  4 O 1.89-2.03
U 0.3601 0.3601 0.3713  4 O 1.89-2.03
Pr 0.8084 0.8084 0.0776  2 F 2.30-2.38, 4 O 2.41-2.53
Pr 0.1916 0.1916 0.9224  2 F 2.30-2.38, 4 O 2.41-2.53

Output
Formation energy (no corrections) in eV/atom: -3.192
SG: C2/m, No. 12


Q: Which formula does entry 2 have?
A: Pr2TeOF


Q: The highest formation energy (no corrections) belongs to which entry?
A: PrTeO4F